An optimized crystal structure of Pm2Mg3Cd4. Source: Alexandria via LeMat-Bulk, functional PBE.

## Properties
- energy relative to the elements (eV/f.u.) = -1.9
- electronic total energy (eV/cell) = -39.6

a = 9.1256 Å, b = 9.1256 Å, c = 8.4544 Å
α = 90.00°, β = 90.00°, γ = 140.34°
With the nearest neighbours (Å) after each atom.
Element x y z (fractional)
Pm 0.0977 0.9023 0.8981  7 Cd 3.40-3.46, 5 Mg 3.47-3.76, 1 Pm 3.77
Pm 0.4023 0.5977 0.3981  7 Cd 3.40-3.46, 5 Mg 3.47-3.76, 1 Pm 3.77
Pm 0.5977 0.4023 0.6019  7 Cd 3.40-3.46, 5 Mg 3.47-3.76, 1 Pm 3.77
Pm 0.9023 0.0977 0.1019  7 Cd 3.40-3.46, 5 Mg 3.47-3.76, 1 Pm 3.77
Mg 0.0000 0.0000 0.5000  6 Cd 2.86-2.94
Mg 0.0135 0.4865 0.7500  5 Cd 2.91-2.98, 2 Mg 3.10
Mg 0.4865 0.0135 0.2500  5 Cd 2.91-2.98, 2 Mg 3.10
Mg 0.5000 0.5000 0.0000  6 Cd 2.86-2.94
Mg 0.5135 0.9865 0.7500  5 Cd 2.91-2.98, 2 Mg 3.10
Mg 0.9865 0.5135 0.2500  5 Cd 2.91-2.98, 2 Mg 3.10
Cd 0.1709 0.8291 0.5201  5 Mg 2.94-2.98, 2 Cd 3.29
Cd 0.1831 0.3169 0.7500  3 Mg 2.86-2.91, 2 Cd 3.10
Cd 0.3169 0.1831 0.2500  3 Mg 2.86-2.91, 2 Cd 3.10
Cd 0.3291 0.6709 0.0201  5 Mg 2.94-2.98, 2 Cd 3.29
Cd 0.6709 0.3291 0.9799  5 Mg 2.94-2.98, 2 Cd 3.29
Cd 0.6831 0.8169 0.7500  3 Mg 2.86-2.91, 2 Cd 3.10
Cd 0.8169 0.6831 0.2500  3 Mg 2.86-2.91, 2 Cd 3.10
Cd 0.8291 0.1709 0.4799  5 Mg 2.94-2.98, 2 Cd 3.29